*a*
Density functional theory data (PBEsol) for a relaxed LaMgTa crystal.

Calculated density: 8234 kg/m3
Symmetry: No. 107

Cell lengths 3.018, 3.018, 7.914 Å; angles 100.99, 100.99, 90.00 degrees
Element x y z (fractional)
La  0.990  0.990  0.980
Mg  0.684  0.684  0.367
Ta  0.326  0.326  0.653

---

*b*
Density functional theory data (PBEsol) for a relaxed LaMgTa crystal.

Calculated density: 6784 kg/m3
Symmetry: No. 216

Cell lengths 4.920, 4.920, 4.920 Å; angles 60.00, 60.00, 60.00 degrees
Element x y z (fractional)
La  0.250  0.250  0.250
Mg  0.000  0.000  0.000
Ta  0.500  0.500  0.500

---

Stability, lowest: *b*

---

*a*
Density functional theory data (PBEsol) for a relaxed LaMg2Tc crystal.

Calculated density: 5763 kg/m3
Symmetry: No. 65

Cell lengths 3.026, 5.614, 5.614 Å; angles 120.41, 90.00, 90.00 degrees
Element x y z (fractional)
La  0.500  0.500  0.500
Mg  0.000  0.500  0.000
Mg  0.000  0.000  0.500
Tc  0.500  0.000  0.000

---

*b*
Density functional theory data (PBEsol) for a relaxed LaMg2Tc crystal.

Calculated density: 5217 kg/m3
Symmetry: No. 160

Cell lengths 3.272, 3.272, 9.984 Å; angles 80.57, 80.57, 60.00 degrees
Element x y z (fractional)
La  0.233  0.233  0.301
Mg  0.006  0.006  0.982
Mg  0.763  0.763  0.711
Tc  0.498  0.498  0.506

---

*c*
Density functional theory data (PBEsol) for a relaxed LaMg2Tc crystal.

Calculated density: 5710 kg/m3
Symmetry: No. 166

Cell lengths 3.001, 3.001, 10.788 Å; angles 82.01, 82.01, 60.00 degrees
Element x y z (fractional)
La  0.000  0.000  0.000
Mg  0.764  0.764  0.708
Mg  0.236  0.236  0.292
Tc  0.500  0.500  0.500

---

Stability, lowest: *a*